First-principles (PBE) data for an optimized crystal structure of CaLa2, as listed in Alexandria via LeMat-Bulk.

Calculated values
- electronic total energy (eV/atom) = -3.7910
- M_tot (μB per formula unit) = 0.00
- polymorph energy (0 for the lowest one) (meV per atom) = 134.1
- SG = No. 227
- energy relative to the elements (kJ/mol of atoms) = 15.5

a b c (Å): 7.002 7.002 7.002
angles (deg): 60.00 60.00 60.00
Element x y z (fractional)
1 Ca 0.125 0.125 0.125
2 Ca 0.875 0.875 0.875
3 La 0.000 0.500 0.500
4 La 0.500 0.000 0.500
5 La 0.500 0.500 0.000
6 La 0.500 0.500 0.500